(1)
Entry from Alexandria via LeMat-Bulk: crystalline La2MgZn3Au12 at its relaxed geometry (PBE).

Cell: 8.307 8.307 8.307 Å, 61.94 61.94 61.94°
Element x y z (fractional)
La 0.614 0.614 0.614
La 0.386 0.386 0.386
Mg 0.000 0.000 0.000
Zn 0.500 0.000 0.000
Zn 0.000 0.500 0.000
Zn 0.000 0.000 0.500
Au 0.366 0.366 0.884
Au 0.867 0.867 0.381
Au 0.381 0.867 0.867
Au 0.884 0.366 0.366
Au 0.867 0.381 0.867
Au 0.366 0.884 0.366
Au 0.634 0.634 0.116
Au 0.133 0.133 0.619
Au 0.619 0.133 0.133
Au 0.116 0.634 0.634
Au 0.133 0.619 0.133
Au 0.634 0.116 0.634

Computed properties:
Total magnetic moment, μB per formula unit: 0.0
Calculated formation energy, eV per atom: -0.181
DOS at the Fermi energy, states/eV/cell: 6.593
Space group: R-3m

(2)
Entry from Alexandria via LeMat-Bulk: crystalline Tb6Sm2YHo at its relaxed geometry (PBE).

Cell: 9.651 8.823 8.823 Å, 118.40 94.21 94.21°
Element x y z (fractional)
Tb 0.056 0.127 0.749
Tb 0.444 0.251 0.873
Tb 0.944 0.873 0.251
Tb 0.556 0.749 0.127
Tb 0.313 0.979 0.427
Tb 0.187 0.573 0.021
Tb 0.687 0.021 0.573
Tb 0.813 0.427 0.979
Tb 0.120 0.710 0.500
Tb 0.380 0.500 0.290
Tb 0.880 0.290 0.500
Tb 0.620 0.500 0.710
Sm 0.458 0.805 0.698
Sm 0.042 0.302 0.195
Sm 0.542 0.195 0.302
Sm 0.958 0.698 0.805
Y 0.250 0.980 0.020
Y 0.750 0.020 0.980
Ho 0.250 0.408 0.592
Ho 0.750 0.592 0.408

Computed properties:
Total magnetic moment, μB per formula unit: 0.0
Calculated formation energy, eV per atom: 0.114
DOS at the Fermi energy, states/eV/cell: 27.262
Space group: C2/c